The following is a DFT calculation (PBE) of crystalline Ba3TlPd at its relaxed geometry.

## Properties
Symmetry   C2/m
Calculated density   5.72 g/cm³
ΔH_f (0 K)   -0.362 eV/atom
Polymorph energy (0 for the lowest one)   0.000 eV per atom

```
data_Ba3TlPd
_chemical_formula_sum 'Ba6 Tl2 Pd2'
_cell_length_a 9.372
_cell_length_b 9.372
_cell_length_c 11.774
_cell_angle_alpha 122.51
_cell_angle_beta 122.51
_cell_angle_gamma 29.21
_symmetry_space_group_name_H-M 'P 1'
_symmetry_Int_Tables_number 1
loop_
_symmetry_equiv_pos_as_xyz
'x,y,z'
loop_
_atom_site_label
_atom_site_type_symbol
_atom_site_fract_x
_atom_site_fract_y
_atom_site_fract_z
Ba1 Ba 0.096 0.096 0.454
Ba2 Ba 0.331 0.331 0.186
Ba3 Ba 0.365 0.365 0.794
Ba4 Ba 0.635 0.635 0.206
Ba5 Ba 0.669 0.669 0.814
Ba6 Ba 0.904 0.904 0.546
Tl1 Tl 0.065 0.065 0.919
Tl2 Tl 0.935 0.935 0.081
Pd1 Pd 0.265 0.265 0.433
Pd2 Pd 0.735 0.735 0.567
```